Density functional theory data (PBE-GGA) for a relaxed CaHfZr2Hg crystal.

Output
* energy: -4.440 eV/atom
* formation enthalpy at 0 K: 1.430 eV per atom
* mass density: 7.773 Mg/m³

abc: 4.9552 4.9552 5.2344
angles: 90.00 90.00 90.00
With the nearest neighbours (Å) after each atom.
Element x y z (fractional)
Ca (0.0000, 0.0000, 0.0000)  4 Zr 2.48, 2 Hg 2.62
Hf (0.5000, 0.5000, 0.5000)  4 Hg 3.50, 8 Zr 3.60
Zr (0.0000, 0.5000, 0.0000)  2 Ca 2.48
Zr (0.5000, 0.0000, 0.0000)  2 Ca 2.48
Hg (0.0000, 0.0000, 0.5000)  2 Ca 2.62

Density functional theory data (PBE-GGA) for a relaxed Bi2Sb2Cl crystal.

Output
* relative energy among the computed polymorphs: 103 meV/atom
* energy: -3.628 eV/atom
* uncorrected formation energy: -5.6 kJ/mol of atoms
* mass density: 7.706 Mg/m³

abc: 8.7518 8.7518 3.9214
angles: 90.00 90.00 90.00
With the nearest neighbours (Å) after each atom.
Element x y z (fractional)
Bi (0.1542, 0.3458, 0.0000)  6 Sb 3.21-3.25, 2 Cl 3.31
Bi (0.3458, 0.8458, 0.0000)  6 Sb 3.21-3.25, 2 Cl 3.31
Bi (0.6542, 0.1542, 0.0000)  6 Sb 3.21-3.25, 2 Cl 3.31
Bi (0.8458, 0.6542, 0.0000)  6 Sb 3.21-3.25, 2 Cl 3.31
Sb (0.1361, 0.6361, 0.5000)  6 Bi 3.21-3.25, 1 Sb 3.37
Sb (0.3639, 0.1361, 0.5000)  6 Bi 3.21-3.25, 1 Sb 3.37
Sb (0.6361, 0.8639, 0.5000)  6 Bi 3.21-3.25, 1 Sb 3.37
Sb (0.8639, 0.3639, 0.5000)  6 Bi 3.21-3.25, 1 Sb 3.37
Cl (0.0000, 0.0000, 0.0000)  4 Bi 3.31
Cl (0.5000, 0.5000, 0.0000)  4 Bi 3.31

Density functional theory data (PBE-GGA) for a relaxed ScHPd3 crystal.

Output
* relative energy among the computed polymorphs: 52 meV/atom
* energy: -5.700 eV/atom
* mass density: 8.833 Mg/m³

abc: 5.1258 4.6409 5.7728
angles: 90.00 90.06 90.00
With the nearest neighbours (Å) after each atom.
Element x y z (fractional)
Sc (0.1574, 0.2500, 0.2498)  2 H 2.32
Sc (0.8426, 0.7500, 0.7502)  2 H 2.32
H (0.1515, 0.7500, 0.2499)  3 Pd 1.76-1.80
H (0.8485, 0.2500, 0.7501)  3 Pd 1.76-1.80
Pd (0.1915, 0.2500, 0.7496)  1 H 1.76
Pd (0.3421, 0.7500, 0.5121)  1 H 1.80
Pd (0.3419, 0.7500, 0.9881)  1 H 1.80
Pd (0.6581, 0.2500, 0.0119)  1 H 1.80
Pd (0.6579, 0.2500, 0.4879)  1 H 1.80
Pd (0.8085, 0.7500, 0.2504)  1 H 1.76

Density functional theory data (PBE-GGA) for a relaxed InSe3I crystal.

Output
* relative energy among the computed polymorphs: 0 meV/atom
* energy: -2.489 eV/atom
* uncorrected formation energy: 44.3 kJ/mol of atoms
* mass density: 5.265 Mg/m³

abc: 5.3245 5.3245 5.3245
angles: 90.00 90.00 90.00
With the nearest neighbours (Å) after each atom.
Element x y z (fractional)
In (0.0000, 0.0000, 0.0000)  6 Se 2.66
Se (0.0000, 0.0000, 0.5000)  2 In 2.66
Se (0.0000, 0.5000, 0.0000)  2 In 2.66
Se (0.5000, 0.0000, 0.0000)  2 In 2.66
I (0.5000, 0.5000, 0.5000)  12 Se 3.77

Density functional theory data (PBE-GGA) for a relaxed Ba2GaSn crystal.

Output
* relative energy among the computed polymorphs: 264 meV/atom
* energy: -2.997 eV/atom
* formation enthalpy at 0 K: -0.279 eV per atom
* mass density: 4.671 Mg/m³

abc: 6.6051 6.6051 11.3013
angles: 115.90 115.90 49.62
With the nearest neighbours (Å) after each atom.
Element x y z (fractional)
Ba (0.1546, 0.1993, 0.0887)  3 Ga 3.55-3.68, 3 Sn 3.66-3.75, 1 Ba 3.73
Ba (0.1993, 0.1546, 0.5887)  3 Ga 3.55-3.68, 3 Sn 3.66-3.75, 1 Ba 3.73
Ba (0.8007, 0.8454, 0.4113)  3 Ga 3.55-3.68, 3 Sn 3.66-3.75, 1 Ba 3.73
Ba (0.8454, 0.8007, 0.9113)  3 Ga 3.55-3.68, 3 Sn 3.66-3.75, 1 Ba 3.73
Ga (0.2241, 0.7759, 0.2500)  2 Sn 2.76-2.78
Ga (0.7759, 0.2241, 0.7500)  2 Sn 2.76-2.78
Sn (0.2773, 0.7227, 0.7500)  2 Ga 2.76-2.78
Sn (0.7227, 0.2773, 0.2500)  2 Ga 2.76-2.78

Density functional theory data (PBE-GGA) for a relaxed PrHoErIn crystal.

Output
* relative energy among the computed polymorphs: 0 meV/atom
* energy: -4.295 eV/atom
* formation enthalpy at 0 K: -0.131 eV per atom
* mass density: 8.295 Mg/m³

abc: 5.5007 5.5007 5.5007
angles: 60.00 60.00 60.00
With the nearest neighbours (Å) after each atom.
Element x y z (fractional)
Pr (0.0000, 0.0000, 0.0000)  4 In 3.37, 4 Ho 3.37
Ho (0.7500, 0.7500, 0.7500)  4 Pr 3.37, 4 Er 3.37
Er (0.5000, 0.5000, 0.5000)  4 In 3.37, 4 Ho 3.37
In (0.2500, 0.2500, 0.2500)  4 Pr 3.37, 4 Er 3.37